Compound: Rb2IrWF6
Source: the Alexandria database
Functional: GGA+U
Structure: relaxed

Output
The density of states at the Fermi level comes out at 0.00 states/eV/atom. As for the space group: I4/mmm, No. 139. The value obtained for the calculated volume is 220.8 Å³/cell. The value obtained for the electronic total energy is -47.998 eV per formula unit. The value obtained for the mass density is 5.0 g cm⁻³.

a b c (Å): 6.6200 6.6200 6.6200
angles (deg): 113.18 113.18 102.29
Last column: nearest neighbours and their distance in Å.
Fractional coordinates of all 10 atoms:
Rb (0.2500, 0.7500, 0.5000)  12 F 3.36-3.65
Rb (0.7500, 0.2500, 0.5000)  12 F 3.36-3.65
Ir (0.0000, 0.0000, 0.0000)  2 F 2.09
W (0.5000, 0.5000, 0.0000)  6 F 1.99-2.07
F (0.2513, 0.2513, 0.0000)  1 W 2.07, 1 Ir 2.09
F (0.3071, 0.3071, 0.6142)  1 W 1.99
F (0.3071, 0.6929, 0.0000)  1 W 1.99
F (0.6929, 0.3071, 0.0000)  1 W 1.99
F (0.6929, 0.6929, 0.3858)  1 W 1.99
F (0.7487, 0.7487, 0.0000)  1 W 2.07, 1 Ir 2.09